No. 1
A plane-wave DFT calculation with PBE was carried out for crystalline Cd2CoAgHg at its relaxed geometry.

ΔH_f (0 K) = 0.5202 eV/atom
spin magnetization = 0.16 μB per atom

a b c (Å): 4.947 4.947 4.951
angles (deg): 90.00 90.00 90.00
Space group P4/mmm (No. 123)
One atom of each set of equivalent atoms:
Cd (0.000, 0.500, 0.000)
Co (0.000, 0.000, 0.000)
Ag (0.500, 0.500, 0.500)
Hg (0.000, 0.000, 0.500)

=====

No. 2
A plane-wave DFT calculation with PBE was carried out for crystalline La6Cd2CoAg at its relaxed geometry.

ΔH_f (0 K) = -0.1384 eV/atom
spin magnetization = 0.00 μB per atom

a b c (Å): 6.920 6.921 6.924
angles (deg): 75.84 75.94 75.78
Space group P1 (No. 1)
One atom of each set of equivalent atoms:
La (0.000, 0.000, 0.000)
La (0.050, 0.530, 0.932)
La (0.227, 0.364, 0.409)
La (0.523, 0.823, 0.168)
La (0.590, 0.770, 0.639)
La (0.757, 0.291, 0.461)
Cd (0.094, 0.865, 0.503)
Cd (0.602, 0.374, 0.013)
Co (0.901, 0.673, 0.312)
Ag (0.411, 0.184, 0.822)